In4Se: optimized geometry, GGA-PBE.

Calculated values
Symmetry: I4/mmm (139)
Relative energy among the computed polymorphs, eV per formula unit: 0.62

a = 8.9499 Å, b = 8.9499 Å, c = 8.9499 Å
α = 153.36°, β = 153.36°, γ = 38.02°
Closest atoms and distances in Å follow each position.
Positions (direct):
In 0.7500 0.2500 0.5000  4 In 2.92
In 0.2500 0.7500 0.5000  4 In 2.92
In 0.5887 0.5887 0.0000  1 In 3.00, 4 Se 3.28
In 0.4113 0.4113 0.0000  1 In 3.00, 4 Se 3.28
Se 0.0000 0.0000 0.0000  8 In 3.28


In5Se: optimized geometry, GGA-PBE.

Calculated values
Symmetry: Cm (8)
Relative energy among the computed polymorphs, eV per formula unit: 0.00

a = 6.3208 Å, b = 6.3208 Å, c = 8.5559 Å
α = 61.43°, β = 61.43°, γ = 34.41°
Closest atoms and distances in Å follow each position.
Positions (direct):
In 0.9655 0.9655 0.0301  1 Se 2.95, 4 In 3.20-3.22
In 0.6420 0.6420 0.6879  5 In 3.09-3.22, 1 Se 3.41
In 0.3517 0.3517 0.3802  8 In 3.12-3.43
In 0.3733 0.3733 0.7281  2 Se 2.86, 2 In 3.09-3.12
In 0.1054 0.1054 0.3300  2 Se 3.02, 1 In 3.21
Se 0.7287 0.7287 0.0104  5 In 2.86-3.02


In6Se5: optimized geometry, GGA-PBE.

Calculated values
Symmetry: C2/m (12)
Total energy, eV/atom: -3.43

a = 7.1216 Å, b = 7.1226 Å, c = 7.1998 Å
α = 81.02°, β = 71.81°, γ = 60.00°
Closest atoms and distances in Å follow each position.
Positions (direct):
In 0.8107 0.0000 0.8305  4 Se 3.07-3.12
In 0.1893 0.0000 0.1695  4 Se 3.07-3.12
In 0.4318 0.6667 0.7356  5 Se 2.85-2.95
In 0.9016 0.6667 0.2644  5 Se 2.85-2.95
In 0.5682 0.3333 0.2644  5 Se 2.85-2.95
In 0.0984 0.3333 0.7356  5 Se 2.85-2.95
Se 0.5000 0.0000 0.5000  4 In 2.85
Se 0.3241 0.3519 0.0000  6 In 2.90-3.07
Se 0.6759 0.6481 0.0000  6 In 2.90-3.07
Se 0.1669 0.6661 0.5000  6 In 2.85-3.12
Se 0.8331 0.3339 0.5000  6 In 2.85-3.12


InSe3: optimized geometry, GGA-PBE.

Calculated values
Symmetry: P1 (1)
Total energy, eV/atom: -3.48

a = 5.7123 Å, b = 5.9098 Å, c = 7.5533 Å
α = 90.48°, β = 108.22°, γ = 104.10°
Closest atoms and distances in Å follow each position.
Positions (direct):
In 0.5066 0.1444 0.9741  4 Se 2.62-2.74
In 0.4382 0.7574 0.4897  4 Se 2.63-2.75
Se 0.8368 0.5542 0.9914  1 Se 2.46, 1 In 2.66
Se 0.9481 0.8203 0.5393  1 Se 2.41
Se 0.4596 0.7028 0.8529  1 Se 2.46, 2 In 2.68-2.73
Se 0.1846 0.3609 0.2805  1 Se 2.43, 1 In 2.63
Se 0.0651 0.1732 0.7435  1 Se 2.41, 1 In 2.62
Se 0.5368 0.1779 0.3433  1 Se 2.43


In2Se3: optimized geometry, GGA-PBE.

Calculated values
Symmetry: R3m (160)
Total energy, eV/atom: -3.40

a = 10.0046 Å, b = 10.0046 Å, c = 10.0046 Å
α = 23.83°, β = 23.83°, γ = 23.83°
Closest atoms and distances in Å follow each position.
Positions (direct):
In 0.2876 0.2876 0.2876  4 Se 2.49-2.77
In 0.7474 0.7474 0.7474  3 Se 2.70
Se 0.2023 0.2023 0.2023  1 In 2.49
Se 0.4573 0.4573 0.4573  3 In 2.70
Se 0.0025 0.0025 0.0025  3 In 2.77


InSe3: optimized geometry, GGA-PBE.

Calculated values
Symmetry: I4/mmm (139)
Total energy, eV/atom: -3.41

a = 6.5330 Å, b = 6.5330 Å, c = 4.0304 Å
α = 107.97°, β = 107.97°, γ = 35.90°
Closest atoms and distances in Å follow each position.
Positions (direct):
In 0.0000 0.0000 0.0000  6 Se 2.85
Se 0.5000 0.5000 0.5000  4 In 2.85, 2 Se 3.03
Se 0.2421 0.2421 0.2421  1 In 2.85, 5 Se 2.85-3.03
Se 0.7579 0.7579 0.7579  1 In 2.85, 5 Se 2.85-3.03